# Er2Si3GeIr4 PBE optimized geometry
data_Er2Si3GeIr4
_cell_length_a 4.137
_cell_length_b 4.137
_cell_length_c 9.925
_cell_angle_alpha 90.00
_cell_angle_beta 90.00
_cell_angle_gamma 90.00
_symmetry_space_group_name_H-M 'P -4 m 2'
_symmetry_Int_Tables_number 115
_symmetry_space_group_name_Hall 'P -4 -2'
loop_
_atom_site_label
_atom_site_type_symbol
_atom_site_fract_x
_atom_site_fract_y
_atom_site_fract_z
Er1 Er 0.000 0.500 0.248
Si1 Si 0.000 0.000 0.000
Si2 Si 0.000 0.500 0.630
Ge1 Ge 0.500 0.500 0.000
Ir1 Ir 0.000 0.000 0.500
Ir2 Ir 0.000 0.500 0.866
Ir3 Ir 0.500 0.500 0.500
# - Formation energy without anion corrections: -94 kJ/mol of atoms
# - DFT total energy: -75.23 eV/f.u.
# - Crystal system: tetragonal
# - Calculated density: 12.317 g/cm3

# SmErGeIr PBE optimized geometry
data_SmErGeIr
_cell_length_a 7.061
_cell_length_b 7.061
_cell_length_c 7.061
_cell_angle_alpha 90.00
_cell_angle_beta 90.00
_cell_angle_gamma 90.00
_symmetry_space_group_name_H-M 'F -4 3 m'
_symmetry_Int_Tables_number 216
_symmetry_space_group_name_Hall 'F -4 2 3'
loop_
_atom_site_label
_atom_site_type_symbol
_atom_site_fract_x
_atom_site_fract_y
_atom_site_fract_z
Sm1 Sm 0.000 0.000 0.000
Er1 Er 0.000 0.000 0.500
Ge1 Ge 0.250 0.250 0.250
Ir1 Ir 0.250 0.250 0.750
# - Formation energy: -0.65 eV per atom
# - Excess energy over the best structure of this formula in the dataset: 4.17 kcal/mol of atoms
# - DFT total energy: -25.37 eV/f.u.
# - Crystal system: cubic
# - Calculated density: 10.991 g/cm3

# SmErGeIr PBE optimized geometry
data_SmErGeIr
_cell_length_a 4.090
_cell_length_b 4.143
_cell_length_c 10.764
_cell_angle_alpha 90.00
_cell_angle_beta 90.00
_cell_angle_gamma 90.00
_symmetry_space_group_name_H-M 'A m m 2'
_symmetry_Int_Tables_number 38
_symmetry_space_group_name_Hall 'A 2 -2'
loop_
_atom_site_label
_atom_site_type_symbol
_atom_site_fract_x
_atom_site_fract_y
_atom_site_fract_z
Sm1 Sm 0.000 0.000 0.000
Er1 Er 0.500 0.000 0.281
Ge1 Ge 0.500 0.000 0.574
Ir1 Ir 0.000 0.000 0.726
# - Formation energy: -0.83 eV per atom
# - Excess energy over the best structure of this formula in the dataset: 0.00 kcal/mol of atoms
# - DFT total energy: -26.09 eV/f.u.
# - Crystal system: orthorhombic
# - Calculated density: 10.606 g/cm3

# Er2TaGe3Ir4 PBE optimized geometry
data_Er2TaGe3Ir4
_cell_length_a 4.123
_cell_length_b 4.123
_cell_length_c 10.798
_cell_angle_alpha 90.00
_cell_angle_beta 90.00
_cell_angle_gamma 90.00
_symmetry_space_group_name_H-M 'P -4 m 2'
_symmetry_Int_Tables_number 115
_symmetry_space_group_name_Hall 'P -4 -2'
loop_
_atom_site_label
_atom_site_type_symbol
_atom_site_fract_x
_atom_site_fract_y
_atom_site_fract_z
Er1 Er 0.000 0.500 0.232
Ta1 Ta 0.000 0.000 0.500
Ge1 Ge 0.000 0.500 0.869
Ge2 Ge 0.500 0.500 0.500
Ir1 Ir 0.000 0.000 0.000
Ir2 Ir 0.000 0.500 0.643
Ir3 Ir 0.500 0.500 0.000
# - Formation energy: -0.74 eV per atom
# - DFT total energy: -77.72 eV/f.u.
# - Crystal system: tetragonal
# - Calculated density: 13.589 g/cm3

# TbErGeIr PBE optimized geometry
data_TbErGeIr
_cell_length_a 4.078
_cell_length_b 4.095
_cell_length_c 10.641
_cell_angle_alpha 90.00
_cell_angle_beta 90.00
_cell_angle_gamma 90.00
_symmetry_space_group_name_H-M 'A m m 2'
_symmetry_Int_Tables_number 38
_symmetry_space_group_name_Hall 'A 2 -2'
loop_
_atom_site_label
_atom_site_type_symbol
_atom_site_fract_x
_atom_site_fract_y
_atom_site_fract_z
Tb1 Tb 0.000 0.000 0.000
Er1 Er 0.500 0.000 0.281
Ge1 Ge 0.500 0.000 0.570
Ir1 Ir 0.000 0.000 0.724
# - Formation energy: -0.87 eV per atom
# - Excess energy over the best structure of this formula in the dataset: 0.00 kcal/mol of atoms
# - DFT total energy: -26.13 eV/f.u.
# - Crystal system: orthorhombic
# - Calculated density: 11.045 g/cm3

# TbErGeIr PBE optimized geometry
data_TbErGeIr
_cell_length_a 6.997
_cell_length_b 6.997
_cell_length_c 6.997
_cell_angle_alpha 90.00
_cell_angle_beta 90.00
_cell_angle_gamma 90.00
_symmetry_space_group_name_H-M 'F -4 3 m'
_symmetry_Int_Tables_number 216
_symmetry_space_group_name_Hall 'F -4 2 3'
loop_
_atom_site_label
_atom_site_type_symbol
_atom_site_fract_x
_atom_site_fract_y
_atom_site_fract_z
Tb1 Tb 0.000 0.000 0.000
Er1 Er 0.000 0.000 0.500
Ge1 Ge 0.250 0.250 0.750
Ir1 Ir 0.250 0.250 0.250
# - Formation energy: -0.70 eV per atom
# - Excess energy over the best structure of this formula in the dataset: 3.83 kcal/mol of atoms
# - DFT total energy: -25.47 eV/f.u.
# - Crystal system: cubic
# - Calculated density: 11.460 g/cm3

# ErTcGe2Ir PBE optimized geometry
data_ErTcGe2Ir
_cell_length_a 4.278
_cell_length_b 4.278
_cell_length_c 9.886
_cell_angle_alpha 90.00
_cell_angle_beta 90.00
_cell_angle_gamma 90.00
_symmetry_space_group_name_H-M 'I -4 m 2'
_symmetry_Int_Tables_number 119
_symmetry_space_group_name_Hall 'I -4 -2'
loop_
_atom_site_label
_atom_site_type_symbol
_atom_site_fract_x
_atom_site_fract_y
_atom_site_fract_z
Er1 Er 0.000 0.000 0.000
Tc1 Tc 0.000 0.500 0.250
Ge1 Ge 0.000 0.000 0.373
Ir1 Ir 0.000 0.500 0.750
# - Formation energy: -0.60 eV per atom
# - DFT total energy: -36.01 eV/f.u.
# - Crystal system: tetragonal
# - Calculated density: 11.064 g/cm3

# ErTh2Ge3Ir4 PBE optimized geometry
data_ErTh2Ge3Ir4
_cell_length_a 4.161
_cell_length_b 4.161
_cell_length_c 11.461
_cell_angle_alpha 90.00
_cell_angle_beta 90.00
_cell_angle_gamma 90.00
_symmetry_space_group_name_H-M 'P -4 m 2'
_symmetry_Int_Tables_number 115
_symmetry_space_group_name_Hall 'P -4 -2'
loop_
_atom_site_label
_atom_site_type_symbol
_atom_site_fract_x
_atom_site_fract_y
_atom_site_fract_z
Er1 Er 0.000 0.000 0.000
Th1 Th 0.000 0.500 0.731
Ge1 Ge 0.000 0.500 0.379
Ge2 Ge 0.500 0.500 0.000
Ir1 Ir 0.000 0.000 0.500
Ir2 Ir 0.000 0.500 0.164
Ir3 Ir 0.500 0.500 0.500
# - Formation energy: -0.83 eV per atom
# - DFT total energy: -77.02 eV/f.u.
# - Crystal system: tetragonal
# - Calculated density: 13.540 g/cm3